(1)
The following is a PBE-GGA calculation of an optimized crystal structure of VTe2Se2, from Alexandria via LeMat-Bulk.

Calculated values
Calculated total energy   -46.30 eV/cell
Uncorrected formation energy   -0.156 eV/atom
Calculated volume   140.7 Å³/f.u.
Symmetry   C2/m
M_tot   0.00 μB per atom
DOS(E_F)   3.3 states/eV/cell

POSCAR file:
```
VTe2Se2
1.0
-1.7224 -5.7212 -1.0040
3.4188 -4.7791 3.0877
-5.9772 -3.0382 5.5030
Se Te V
4 4 2
Cartesian
-4.0625 -9.6212 4.4238 Se
-1.2003 -6.7238 2.5596 Se
-0.2182 -3.9173 3.1629 Se
-3.0805 -6.8147 5.0271 Se
-6.2668 -7.5795 3.4212 Te
-1.4328 -1.1799 1.0778 Te
-4.8365 -5.1983 2.9885 Te
-2.8631 -3.5611 1.5105 Te
-3.5819 -7.7464 2.6945 V
-0.6989 -5.7921 4.8922 V
```

(2)
The following is a PBE-GGA calculation of an optimized crystal structure of Sc4HgTe2As, from Alexandria via LeMat-Bulk.

Calculated values
Calculated total energy   -44.37 eV/cell
Uncorrected formation energy   -0.976 eV/atom
Calculated volume   192.0 Å³/f.u.
Symmetry   P2/m
M_tot   0.00 μB per atom
DOS(E_F)   5.4 states/eV/cell

POSCAR file:
```
Sc4HgTe2As
1.0
3.9854 0.0000 0.0000
0.0000 7.0338 -0.1794
0.0000 2.4412 6.7876
Te Hg Sc As
2 1 4 1
Cartesian
0.0000 2.4412 6.7876 Te
1.9927 1.2206 3.3938 Te
1.9927 3.5169 -0.0897 Hg
0.0001 6.9757 4.9136 Sc
1.9927 5.7353 1.7020 Sc
1.9927 3.7397 4.9062 Sc
3.9854 2.4994 1.6946 Sc
0.0000 4.7375 3.3041 As
```

(3)
The following is a PBE-GGA calculation of an optimized crystal structure of SmTm2Zn2In2, from Alexandria via LeMat-Bulk.

Calculated values
Calculated total energy   -23.58 eV/cell
Calculated volume   173.4 Å³/f.u.
ΔE_f   -0.270 eV/atom
Symmetry   R-3m
M_tot   0.00 μB per atom
DOS(E_F)   3.4 states/eV/cell

POSCAR file:
```
SmTm2Zn2In2
1.0
4.7157 0.0000 0.0000
2.3578 4.0839 0.0000
2.3578 1.3613 9.0033
In Tm Zn Sm
2 2 2 1
Cartesian
7.0735 4.0839 7.0140 In
2.3578 1.3613 1.9893 In
7.0735 4.0839 3.4779 Tm
2.3578 1.3613 5.5254 Tm
4.7157 2.7226 1.9030 Zn
4.7157 2.7226 7.1003 Zn
0.0000 0.0000 0.0000 Sm
```

(4)
The following is a PBE-GGA calculation of an optimized crystal structure of SrAl3Si, from Alexandria via LeMat-Bulk.

Calculated values
Offset from the most stable computed form   0 meV per atom
Calculated total energy   -19.52 eV/cell
Uncorrected formation energy   -0.237 eV/atom
Calculated volume   107.5 Å³/f.u.
Symmetry   I4mm
M_tot   0.00 μB per atom
DOS(E_F)   1.5 states/eV/cell

POSCAR file:
```
SrAl3Si
1.0
0.7815 -6.0102 -1.1251
-1.7529 -3.9774 4.3711
-2.4295 4.8569 -2.9166
Al Si Sr
3 1 1
Cartesian
-2.4326 -3.0704 1.8680 Al
-0.2112 -2.1713 0.7057 Al
-1.1654 -4.0868 -0.8800 Al
-0.9485 -9.7523 3.1695 Si
-0.5794 -5.9570 1.9361 Sr
```

Question: What is the formula in the third record?
Answer: SmTm2Zn2In2